(1)
The following is a DFT calculation (PBE) of a relaxed structure of CuMoSe2N.

Geometry as POSCAR:
```
CuMoSe2N
1.0
5.048 0.000 0.000
0.000 5.048 0.000
0.000 0.000 3.775
Mo Cu Se N
1 1 2 1
Direct
0.000 0.000 0.000 Mo
0.500 0.500 0.500 Cu
0.000 0.500 0.000 Se
0.500 0.000 0.000 Se
0.000 0.000 0.500 N
```

Results
For the density of states at the Fermi level, the calculation gives 0.759 states/eV per atom. For the formation energy (no corrections), the calculation gives 0.4253 eV per atom. For the mass density, the calculation gives 5.722 Mg/m³. The value obtained for the magnetic moment is 0.00 μB per formula unit. Its final energy is -5.619 eV per atom. Its volume is 96.2 Å³ per cell. The calculation puts the energy above the lowest structure with this stoichiometry at 0 meV per atom.

***

(2)
The following is a DFT calculation (PBE) of a relaxed structure of Cu2SnMoN.

Geometry as POSCAR:
```
Cu2SnMoN
1.0
-3.439 -0.963 3.276
0.657 -3.971 -0.477
3.323 0.126 3.525
Mo Sn Cu N
1 1 2 1
Direct
0.500 0.500 0.500 Mo
0.000 0.000 0.000 Sn
0.000 0.000 0.500 Cu
0.500 0.000 0.000 Cu
0.000 0.500 0.000 N
```

Results
For the density of states at the Fermi level, the calculation gives 0.417 states/eV per atom. For the formation energy (no corrections), the calculation gives 1.6910 eV per atom. For the mass density, the calculation gives 6.205 Mg/m³. The value obtained for the magnetic moment is 3.27 μB per formula unit. Its final energy is -4.579 eV per atom. Its volume is 95.2 Å³ per cell.

***

(3)
The following is a DFT calculation (PBE) of a relaxed structure of TaCuMo2N.

Geometry as POSCAR:
```
TaCuMo2N
1.0
-3.429 -1.341 -1.805
-0.467 -2.853 3.008
-2.201 2.674 2.194
Mo N Cu Ta
2 1 1 1
Direct
0.000 0.000 0.500 Mo
0.500 0.000 0.000 Mo
0.000 0.000 0.000 N
0.500 0.500 0.500 Cu
0.000 0.500 0.000 Ta
```

Results
For the density of states at the Fermi level, the calculation gives 0.970 states/eV per atom. For the formation energy (no corrections), the calculation gives -0.1086 eV per atom. For the mass density, the calculation gives 10.664 Mg/m³. The value obtained for the magnetic moment is 0.00 μB per formula unit. Its final energy is -9.296 eV per atom. Its volume is 70.1 Å³ per cell.

***

(4)
The following is a DFT calculation (PBE) of a relaxed structure of Ta2CuMoN.

Geometry as POSCAR:
```
Ta2CuMoN
1.0
-3.579 -1.008 -2.136
-0.660 -2.859 2.455
-2.243 2.666 2.500
Mo N Cu Ta
1 1 1 2
Direct
0.500 0.500 0.500 Mo
0.000 0.000 0.000 N
0.000 0.500 0.000 Cu
0.000 0.000 0.500 Ta
0.500 0.000 0.000 Ta
```

Results
For the density of states at the Fermi level, the calculation gives 0.599 states/eV per atom. For the formation energy (no corrections), the calculation gives -0.1793 eV per atom. For the mass density, the calculation gives 12.637 Mg/m³. The value obtained for the magnetic moment is 0.00 μB per formula unit. Its final energy is -9.571 eV per atom. Its volume is 70.4 Å³ per cell.

***

(5)
The following is a DFT calculation (PBE) of a relaxed structure of CuTc2MoN.

Geometry as POSCAR:
```
CuTc2MoN
1.0
-2.510 3.091 0.535
-3.116 -2.378 -0.883
-0.366 -0.978 3.926
Mo Tc Cu N
1 2 1 1
Direct
0.000 0.000 0.500 Mo
0.000 0.500 0.000 Tc
0.500 0.000 0.000 Tc
0.500 0.500 0.500 Cu
0.000 0.000 0.000 N
```

Results
For the density of states at the Fermi level, the calculation gives 0.822 states/eV per atom. For the formation energy (no corrections), the calculation gives 0.0828 eV per atom. For the mass density, the calculation gives 9.356 Mg/m³. The value obtained for the magnetic moment is 0.00 μB per formula unit. Its final energy is -8.714 eV per atom. Its volume is 65.6 Å³ per cell.

***

(6)
The following is a DFT calculation (PBE) of a relaxed structure of CuTe2MoN.

Geometry as POSCAR:
```
CuTe2MoN
1.0
-4.903 -0.402 -1.943
-1.777 -1.411 4.777
-0.586 3.380 0.780
Mo Te Cu N
1 2 1 1
Direct
0.500 0.500 0.500 Mo
0.000 0.500 0.000 Te
0.500 0.000 0.000 Te
0.000 0.000 0.000 Cu
0.000 0.000 0.500 N
```

Results
For the density of states at the Fermi level, the calculation gives 0.957 states/eV per atom. For the formation energy (no corrections), the calculation gives 1.0826 eV per atom. For the mass density, the calculation gives 7.235 Mg/m³. The value obtained for the magnetic moment is 3.27 μB per formula unit. Its final energy is -4.825 eV per atom. Its volume is 98.4 Å³ per cell. The calculation puts the energy above the lowest structure with this stoichiometry at 600 meV per atom.

***

(7)
The following is a DFT calculation (PBE) of a relaxed structure of CuTeMoN2.

Geometry as POSCAR:
```
CuTeMoN2
1.0
3.876 0.000 0.000
0.000 3.876 0.000
0.000 0.000 5.758
Mo Te Cu N
1 1 1 2
Direct
0.000 0.000 0.000 Mo
0.000 0.000 0.500 Te
0.500 0.500 0.500 Cu
0.000 0.500 0.000 N
0.500 0.000 0.000 N
```

Results
For the density of states at the Fermi level, the calculation gives 0.553 states/eV per atom. For the formation energy (no corrections), the calculation gives 0.5143 eV per atom. For the mass density, the calculation gives 6.049 Mg/m³. The value obtained for the magnetic moment is 0.00 μB per formula unit. Its final energy is -6.430 eV per atom. Its volume is 86.5 Å³ per cell. The calculation puts the energy above the lowest structure with this stoichiometry at 0 meV per atom.

***

(8)
The following is a DFT calculation (PBE) of a relaxed structure of CuTe2MoN.

Geometry as POSCAR:
```
CuTe2MoN
1.0
5.396 0.000 0.000
0.000 5.396 0.000
0.000 0.000 3.785
Mo Te Cu N
1 2 1 1
Direct
0.000 0.000 0.000 Mo
0.000 0.500 0.000 Te
0.500 0.000 0.000 Te
0.500 0.500 0.500 Cu
0.000 0.000 0.500 N
```

Results
For the density of states at the Fermi level, the calculation gives 0.759 states/eV per atom. For the formation energy (no corrections), the calculation gives 0.4829 eV per atom. For the mass density, the calculation gives 6.459 Mg/m³. The value obtained for the magnetic moment is 0.00 μB per formula unit. Its final energy is -5.424 eV per atom. Its volume is 110.2 Å³ per cell. The calculation puts the energy above the lowest structure with this stoichiometry at 0 meV per atom.

***

(9)
The following is a DFT calculation (PBE) of a relaxed structure of CuTeMoN2.

Geometry as POSCAR:
```
CuTeMoN2
1.0
-0.454 2.839 2.637
-1.438 -2.589 2.540
4.928 -0.926 1.845
Mo Te Cu N
1 1 1 2
Direct
0.500 0.500 0.500 Mo
0.000 0.000 0.500 Te
0.000 0.000 0.000 Cu
0.000 0.500 0.000 N
0.500 0.000 0.000 N
```

Results
For the density of states at the Fermi level, the calculation gives 0.522 states/eV per atom. For the formation energy (no corrections), the calculation gives 1.7580 eV per atom. For the mass density, the calculation gives 6.433 Mg/m³. The value obtained for the magnetic moment is 0.18 μB per formula unit. Its final energy is -5.186 eV per atom. Its volume is 81.3 Å³ per cell. The calculation puts the energy above the lowest structure with this stoichiometry at 1244 meV per atom.

***

(10)
The following is a DFT calculation (PBE) of a relaxed structure of Na2CuMo.

Geometry as POSCAR:
```
Na2CuMo
1.0
-8.329 0.878 0.458
-0.618 -7.642 3.402
-4.225 -2.305 4.395
Na Mo Cu
4 2 2
Direct
0.575 0.125 0.250 Na
0.175 0.625 0.250 Na
0.375 0.425 0.750 Na
0.875 0.825 0.750 Na
0.000 0.000 0.000 Mo
0.750 0.250 0.500 Mo
0.500 0.500 0.000 Cu
0.250 0.750 0.500 Cu
```

Results
For the density of states at the Fermi level, the calculation gives 0.479 states/eV per atom. For the mass density, the calculation gives 3.590 Mg/m³. The value obtained for the magnetic moment is 4.38 μB per formula unit. Its final energy is -3.198 eV per atom. Its volume is 190.1 Å³ per cell. The energy of formation comes out at 1193 meV per atom. The calculation puts the energy above the lowest structure with this stoichiometry at 0 meV per atom.

***

(11)
The following is a DFT calculation (PBE) of a relaxed structure of Na2Cu2Mo.

Geometry as POSCAR:
```
Na2Cu2Mo
1.0
8.191 0.000 0.000
0.000 8.191 0.000
0.000 0.000 2.530
Na Mo Cu
4 2 4
Direct
0.125 0.625 0.500 Na
0.625 0.875 0.500 Na
0.875 0.375 0.500 Na
0.375 0.125 0.500 Na
0.000 0.000 0.000 Mo
0.500 0.500 0.000 Mo
0.322 0.822 0.000 Cu
0.822 0.678 0.000 Cu
0.678 0.178 0.000 Cu
0.178 0.322 0.000 Cu
```

Results
For the density of states at the Fermi level, the calculation gives 0.558 states/eV per atom. For the mass density, the calculation gives 5.262 Mg/m³. The value obtained for the magnetic moment is 0.00 μB per formula unit. Its final energy is -3.510 eV per atom. Its volume is 169.8 Å³ per cell. The energy of formation comes out at 823 meV per atom. The calculation puts the energy above the lowest structure with this stoichiometry at 0 meV per atom.

***

(12)
The following is a DFT calculation (PBE) of a relaxed structure of NaCuMo.

Geometry as POSCAR:
```
NaCuMo
1.0
11.219 0.000 0.000
0.000 4.800 0.000
0.000 0.000 4.683
Na Mo Cu
4 4 4
Direct
0.758 0.250 0.992 Na
0.742 0.750 0.492 Na
0.242 0.750 0.008 Na
0.258 0.250 0.508 Na
0.484 0.250 0.000 Mo
0.016 0.750 0.500 Mo
0.516 0.750 0.000 Mo
0.984 0.250 0.500 Mo
0.000 0.000 0.000 Cu
0.500 0.500 0.500 Cu
0.500 0.000 0.500 Cu
0.000 0.500 0.000 Cu
```

Results
For the density of states at the Fermi level, the calculation gives 1.140 states/eV per atom. For the mass density, the calculation gives 4.806 Mg/m³. The value obtained for the magnetic moment is 0.00 μB per formula unit. Its final energy is -4.698 eV per atom. Its volume is 252.2 Å³ per cell. The energy of formation comes out at 718 meV per atom. The calculation puts the energy above the lowest structure with this stoichiometry at 174 meV per atom.

***

- Which formula does entry 6 have?
  CuTe2MoN

***

- Number 9 is which compound?
  CuTeMoN2

***

- Which formula does entry 9 have?
  CuTeMoN2

***

- What is the magnetic moment in the fourth record?
  0.00 μB per formula unit